# 1
A plane-wave DFT calculation with PBE was carried out for an optimized crystal structure of Dy12Co6Ni.

a = 8.265 Å, b = 8.265 Å, c = 8.265 Å
α = 109.47°, β = 109.47°, γ = 109.47°
Fractional coordinates of all 19 atoms:
Dy 0.106 0.807 0.299
Dy 0.193 0.299 0.492
Dy 0.193 0.701 0.894
Dy 0.299 0.106 0.807
Dy 0.299 0.492 0.193
Dy 0.492 0.193 0.299
Dy 0.508 0.807 0.701
Dy 0.701 0.508 0.807
Dy 0.701 0.894 0.193
Dy 0.807 0.299 0.106
Dy 0.807 0.701 0.508
Dy 0.894 0.193 0.701
Co 0.115 0.615 0.500
Co 0.385 0.500 0.885
Co 0.500 0.115 0.615
Co 0.500 0.885 0.385
Co 0.615 0.500 0.115
Co 0.885 0.385 0.500
Ni 0.000 0.000 0.000

ΔE_f = -3.3 eV per formula unit
V = 434.6 Å³ per cell
crystal system = cubic
Fermi-level density of states = 0.59 states/eV per atom
total DFT energy (no corrections) = -5.63 eV per atom

---

# 2
A plane-wave DFT calculation with PBE was carried out for an optimized crystal structure of LaYAs2.

a = 8.079 Å, b = 8.079 Å, c = 8.079 Å
α = 131.15°, β = 131.15°, γ = 71.57°
Fractional coordinates of all 8 atoms:
La 0.000 0.000 0.000
La 0.750 0.250 0.500
Y 0.250 0.750 0.500
Y 0.500 0.500 0.000
As 0.143 0.625 0.018
As 0.375 0.393 0.518
As 0.607 0.125 0.982
As 0.875 0.857 0.482

ΔE_f = -4.2 eV per formula unit
V = 292.5 Å³ per cell
crystal system = tetragonal
Fermi-level density of states = 0.00 states/eV per atom
distance to the lowest polymorph of the same formula = 503.4 meV/atom
total DFT energy (no corrections) = -6.23 eV per atom

---

# 3
A plane-wave DFT calculation with PBE was carried out for an optimized crystal structure of SmHo2Sb.

a = 5.385 Å, b = 5.385 Å, c = 5.385 Å
α = 60.00°, β = 60.00°, γ = 60.00°
Fractional coordinates of all 4 atoms:
Sm 0.000 0.000 0.000
Ho 0.250 0.250 0.250
Ho 0.750 0.750 0.750
Sb 0.500 0.500 0.500

V = 110.4 Å³ per cell
crystal system = cubic
Fermi-level density of states = 1.07 states/eV per atom
distance to the lowest polymorph of the same formula = 337.4 meV/atom
uncorrected formation energy = -0.2470 eV per atom
total DFT energy (no corrections) = -4.75 eV per atom

---

# 4
A plane-wave DFT calculation with PBE was carried out for an optimized crystal structure of NdGePt3.

a = 5.736 Å, b = 6.988 Å, c = 5.218 Å
α = 90.00°, β = 90.00°, γ = 90.00°
Fractional coordinates of all 10 atoms:
Nd 0.000 0.000 0.000
Nd 0.500 0.500 0.000
Ge 0.000 0.500 0.500
Ge 0.500 0.000 0.500
Pt 0.000 0.500 0.000
Pt 0.129 0.171 0.500
Pt 0.371 0.671 0.500
Pt 0.500 0.000 0.000
Pt 0.629 0.329 0.500
Pt 0.871 0.829 0.500

ΔE_f = -3.0 eV per formula unit
V = 209.2 Å³ per cell
crystal system = orthorhombic
Fermi-level density of states = 0.34 states/eV per atom
distance to the lowest polymorph of the same formula = 309.5 meV/atom
total DFT energy (no corrections) = -6.10 eV per atom